1.
# AcSmY2 (PBE-GGA, relaxed)
# - Density: 6426 kg/m3
# - M_tot: 0.00 μB per formula unit
# - Formation enthalpy at 0 K: 0.10 eV/atom
# - Total DFT energy (no corrections): -5.33 eV per atom
# - Space-group type: Fm-3m
data_AcSmY2
_cell_length_a 5.8759
_cell_length_b 5.8759
_cell_length_c 5.8759
_cell_angle_alpha 60.00
_cell_angle_beta 60.00
_cell_angle_gamma 60.00
_symmetry_space_group_name_H-M 'P 1'
_symmetry_Int_Tables_number 1
loop_
_symmetry_equiv_pos_as_xyz
'x,y,z'
loop_
_atom_site_label
_atom_site_type_symbol
_atom_site_fract_x
_atom_site_fract_y
_atom_site_fract_z
_atom_site_occupancy
Y1 Y 0.2500 0.2500 0.2500 1
Sm1 Sm 0.5000 0.5000 0.5000 1
Ac1 Ac 0.0000 0.0000 0.0000 1
Y2 Y 0.7500 0.7500 0.7500 1

***

2.
# Hf2MgTaTe (PBE-GGA, relaxed)
# - Density: 8663 kg/m3
# - M_tot: 0.00 μB per formula unit
# - Total DFT energy (no corrections): -6.11 eV per atom
# - Space-group type: P4/mmm
data_Hf2MgTaTe
_cell_length_a 5.1869
_cell_length_b 4.9150
_cell_length_c 5.1869
_cell_angle_alpha 90.00
_cell_angle_beta 90.00
_cell_angle_gamma 90.00
_symmetry_space_group_name_H-M 'P 1'
_symmetry_Int_Tables_number 1
loop_
_symmetry_equiv_pos_as_xyz
'x,y,z'
loop_
_atom_site_label
_atom_site_type_symbol
_atom_site_fract_x
_atom_site_fract_y
_atom_site_fract_z
_atom_site_occupancy
Mg1 Mg 0.0000 0.5000 0.0000 1
Ta1 Ta 0.5000 0.5000 0.5000 1
Hf1 Hf 0.5000 0.0000 0.0000 1
Te1 Te 0.0000 0.0000 0.0000 1
Hf2 Hf 0.0000 0.0000 0.5000 1

***

3.
# Mn2NbHPt (PBE-GGA, relaxed)
# - Density: 11292 kg/m3
# - M_tot: 2.94 μB per formula unit
# - Total DFT energy (no corrections): -7.76 eV per atom
# - Space-group type: P4/mmm
data_Mn2NbHPt
_cell_length_a 3.8588
_cell_length_b 3.8588
_cell_length_c 3.9391
_cell_angle_alpha 90.00
_cell_angle_beta 90.00
_cell_angle_gamma 90.00
_symmetry_space_group_name_H-M 'P 1'
_symmetry_Int_Tables_number 1
loop_
_symmetry_equiv_pos_as_xyz
'x,y,z'
loop_
_atom_site_label
_atom_site_type_symbol
_atom_site_fract_x
_atom_site_fract_y
_atom_site_fract_z
_atom_site_occupancy
Pt1 Pt 0.5000 0.5000 0.5000 1
Mn1 Mn 0.0000 0.5000 0.0000 1
Nb1 Nb 0.0000 0.0000 0.5000 1
H1 H 0.0000 0.0000 0.0000 1
Mn2 Mn 0.5000 0.0000 0.0000 1